This record from the Alexandria database describes a relaxed Ca2NiCl crystal. The functional is GGA-PBE.

Cell: 4.6351 3.6001 11.2135 Å, 90.00 90.00 90.00°
Last column: nearest neighbours and their distance in Å.
Space group Amm2 (No. 38)
One atom of each set of equivalent atoms:
Ca 0.0000 0.0000 0.0000 [2 per cell]  1 Ni 2.84, 4 Cl 2.94
Ca 0.5000 0.0000 0.2640 [2 per cell]  1 Cl 2.86, 4 Ni 2.94
Ni 0.0000 0.0000 0.7469 [2 per cell]  5 Ca 2.84-2.94
Cl 0.5000 0.0000 0.5189 [2 per cell]  5 Ca 2.86-2.94

- energy above the lowest structure with this stoichiometry (meV/atom) = 150
- total magnetic moment (μB per formula unit) = 0.00
- Fermi-level density of states (states/eV/f.u.) = 2.87